No. 1
DFT (PBE-GGA) results for a relaxed structure of Sm2PuCu.

## Properties
- ΔE to the lowest computed polymorph (kJ per mole of atoms) = 29.7
- magnetization (μB/atom) = 1.606
- density of states at the Fermi level (states/eV/f.u.) = 11.7
- DFT formation energy (eV per atom) = 0.336

a b c (Å): 3.4450 3.4450 33.1676
angles (deg): 90.00 90.00 120.00
Positions (direct):
Sm 0.0000 0.0000 0.1014
Sm 0.0000 0.0000 0.8986
Sm 0.3333 0.6667 0.5652
Sm 0.3333 0.6667 0.7681
Sm 0.6667 0.3333 0.2319
Sm 0.6667 0.3333 0.4348
Pu 0.0000 0.0000 0.0000
Pu 0.3333 0.6667 0.6667
Pu 0.6667 0.3333 0.3333
Cu 0.0000 0.0000 0.5000
Cu 0.3333 0.6667 0.1667
Cu 0.6667 0.3333 0.8333

No. 2
DFT (PBE-GGA) results for a relaxed structure of NdGa6Pt2.

## Properties
- magnetization (μB/atom) = 0.000
- density of states at the Fermi level (states/eV/f.u.) = 5.3
- DFT formation energy (eV per atom) = -0.204

a b c (Å): 8.4241 8.4241 8.4241
angles (deg): 60.00 60.00 60.00
Positions (direct):
Nd 0.1250 0.1250 0.1250
Nd 0.8750 0.8750 0.8750
Ga 0.1338 0.1338 0.6162
Ga 0.1338 0.6162 0.1338
Ga 0.1338 0.6162 0.6162
Ga 0.3838 0.3838 0.8662
Ga 0.3838 0.8662 0.3838
Ga 0.3838 0.8662 0.8662
Ga 0.6162 0.1338 0.1338
Ga 0.6162 0.1338 0.6162
Ga 0.6162 0.6162 0.1338
Ga 0.8662 0.3838 0.3838
Ga 0.8662 0.3838 0.8662
Ga 0.8662 0.8662 0.3838
Pt 0.0000 0.5000 0.5000
Pt 0.5000 0.0000 0.5000
Pt 0.5000 0.5000 0.0000
Pt 0.5000 0.5000 0.5000

No. 3
DFT (PBE-GGA) results for a relaxed structure of BaGa4Ag4.

## Properties
- magnetization (μB/atom) = 0.000
- density of states at the Fermi level (states/eV/f.u.) = 3.5
- DFT formation energy (eV per atom) = -0.172

a b c (Å): 6.4835 6.4835 9.1965
angles (deg): 90.00 90.00 90.00
Positions (direct):
Ba 0.2500 0.7500 0.2500
Ba 0.7500 0.2500 0.7500
Ga 0.0496 0.2500 0.0756
Ga 0.2500 0.0496 0.5756
Ga 0.2500 0.4504 0.5756
Ga 0.4504 0.2500 0.0756
Ga 0.5496 0.7500 0.9244
Ga 0.7500 0.5496 0.4244
Ga 0.7500 0.9504 0.4244
Ga 0.9504 0.7500 0.9244
Ag 0.0213 0.2500 0.3639
Ag 0.2500 0.0213 0.8639
Ag 0.2500 0.4787 0.8639
Ag 0.4787 0.2500 0.3639
Ag 0.5213 0.7500 0.6361
Ag 0.7500 0.5213 0.1361
Ag 0.7500 0.9787 0.1361
Ag 0.9787 0.7500 0.6361

No. 4
DFT (PBE-GGA) results for a relaxed structure of BaLaHgPb.

## Properties
- magnetization (μB/atom) = 0.010
- density of states at the Fermi level (states/eV/f.u.) = 5.3
- DFT formation energy (eV per atom) = -0.483

a b c (Å): 8.2235 8.2235 8.2235
angles (deg): 90.00 90.00 90.00
Positions (direct):
Ba 0.0000 0.0000 0.0000
Ba 0.0000 0.5000 0.5000
Ba 0.5000 0.0000 0.5000
Ba 0.5000 0.5000 0.0000
La 0.0000 0.0000 0.5000
La 0.0000 0.5000 0.0000
La 0.5000 0.0000 0.0000
La 0.5000 0.5000 0.5000
Hg 0.2500 0.2500 0.7500
Hg 0.2500 0.7500 0.2500
Hg 0.7500 0.2500 0.2500
Hg 0.7500 0.7500 0.7500
Pb 0.2500 0.2500 0.2500
Pb 0.2500 0.7500 0.7500
Pb 0.7500 0.2500 0.7500
Pb 0.7500 0.7500 0.2500